Crystalline Sc3P at its relaxed geometry, computed with PBEsol.

POSCAR file:
```
Sc3P
1.0
4.166 0.000 0.000
0.000 4.166 0.000
0.000 0.000 4.166
P Sc
1 3
direct
0.000 0.000 0.000
0.500 0.000 0.500
0.500 0.500 0.000
0.000 0.500 0.500
```

Output
Calculated total energy: -0.25414 hartree per atom
Distance to the lowest polymorph of the same formula: 333 meV/atom